A:
The following is a GGA-PBE calculation of Cs2Cd2Pb after structural relaxation, from Alexandria via LeMat-Bulk.

Cell: 7.7821 8.5114 7.8733 Å, 85.02 79.05 62.80°
Atoms (fractional coordinates):
Cd 0.3306 0.0000 0.9314
Cs 0.1815 0.3274 0.2929
Cs 0.4911 0.3274 0.7071
Pb 0.1145 0.7710 0.0000
Cd 0.0714 0.0000 0.6607
Pb 0.8855 0.2290 0.0000
Cd 0.9286 0.0000 0.3393
Cd 0.6694 0.0000 0.0686
Cs 0.5089 0.6726 0.2929
Cs 0.8185 0.6726 0.7071

Properties
Magnetization   0.0 μB/cell
DOS(E_F)   1.7 states/eV per cell

---

B:
The following is a GGA-PBE calculation of Cs2Cd2Pb after structural relaxation, from Alexandria via LeMat-Bulk.

Cell: 8.1728 8.1728 6.3171 Å, 90.00 90.00 90.00°
Atoms (fractional coordinates):
Cs 0.1787 0.6787 0.5000
Cs 0.6787 0.8213 0.5000
Cd 0.8651 0.6349 0.0000
Pb 0.0000 0.0000 0.0000
Cs 0.3213 0.1787 0.5000
Pb 0.5000 0.5000 0.0000
Cs 0.8213 0.3213 0.5000
Cd 0.3651 0.8651 0.0000
Cd 0.6349 0.1349 0.0000
Cd 0.1349 0.3651 0.0000

Properties
Magnetization   0.0 μB/cell
DOS(E_F)   2.1 states/eV per cell

---

How do the energies compare? Relative to the most stable structure, in eV/atom: A 0.000; B 0.042.

---

A:
The following is a GGA-PBE calculation of Cs2Cd2Pb after structural relaxation, from Alexandria via LeMat-Bulk.

Cell: 5.4072 5.4072 8.5980 Å, 71.67 71.67 90.00°
Atoms (fractional coordinates):
Cd 0.4112 0.4112 0.1775
Cs 0.7500 0.2500 0.5000
Cd 0.5888 0.5888 0.8225
Cs 0.2500 0.7500 0.5000
Pb 0.0000 0.0000 0.0000

Properties
Magnetization   0.0 μB/cell
DOS(E_F)   4.3 states/eV per cell

---

B:
The following is a GGA-PBE calculation of Cs2Cd2Pb after structural relaxation, from Alexandria via LeMat-Bulk.

Cell: 6.5587 5.2727 7.5571 Å, 69.58 64.28 90.00°
Atoms (fractional coordinates):
Cd 0.7455 0.5000 0.0000
Cs 0.3026 0.8026 0.3948
Pb 0.0000 0.0000 0.0000
Cd 0.2545 0.5000 0.0000
Cs 0.6974 0.1974 0.6052

Properties
Magnetization   0.0 μB/cell
DOS(E_F)   1.2 states/eV per cell

---

How do the energies compare? Relative to the most stable structure, in eV/atom: A 0.390; B 0.000.

---

A:
The following is a GGA-PBE calculation of CsRbCdPb after structural relaxation, from Alexandria via LeMat-Bulk.

Cell: 6.0629 6.0629 6.0629 Å, 60.00 60.00 60.00°
Atoms (fractional coordinates):
Rb 0.2500 0.2500 0.2500
Cd 0.7500 0.7500 0.7500
Cs 0.5000 0.5000 0.5000
Pb 0.0000 0.0000 0.0000

Properties
Magnetization   0.0 μB/cell
DOS(E_F)   1.4 states/eV per cell

---

B:
The following is a GGA-PBE calculation of CsRbCdPb after structural relaxation, from Alexandria via LeMat-Bulk.

Cell: 5.4516 5.4510 8.0412 Å, 109.80 90.00 120.00°
Atoms (fractional coordinates):
Pb 0.0778 0.1556 0.8753
Cd 0.4125 0.8250 0.8798
Rb 0.8390 0.6779 0.1592
Cs 0.6370 0.2741 0.5530

Properties
Magnetization   0.0 μB/cell
DOS(E_F)   1.7 states/eV per cell

---

How do the energies compare? Relative to the most stable structure, in eV/atom: A 0.108; B 0.000.

---

A:
The following is a GGA-PBE calculation of CsCdPd after structural relaxation, from Alexandria via LeMat-Bulk.

Cell: 5.5904 4.7066 4.7066 Å, 120.00 90.00 90.00°
Atoms (fractional coordinates):
Cd 0.1668 0.6667 0.3333
Pd 0.1664 0.0000 0.0000
Cs 0.6669 0.3333 0.6667

Properties
Magnetization   0.0 μB/cell
DOS(E_F)   1.2 states/eV per cell

---

B:
The following is a GGA-PBE calculation of CsCdPd after structural relaxation, from Alexandria via LeMat-Bulk.

Cell: 3.8710 3.8710 6.9842 Å, 106.09 106.09 90.00°
Atoms (fractional coordinates):
Cs 0.9979 0.9979 0.9958
Cd 0.2642 0.2642 0.5283
Pd 0.7379 0.7379 0.4759

Properties
Magnetization   0.0 μB/cell
DOS(E_F)   1.1 states/eV per cell

---

How do the energies compare? Relative to the most stable structure, in eV/atom: A 0.000; B 0.012.

---

A:
The following is a GGA-PBE calculation of CsCd3Pt after structural relaxation, from Alexandria via LeMat-Bulk.

Cell: 6.2021 6.2021 9.9245 Å, 71.79 71.79 90.00°
Atoms (fractional coordinates):
Cs 0.5857 0.0857 0.8286
Pt 0.2500 0.7500 0.5000
Cd 0.6132 0.8788 0.2424
Cd 0.2671 0.2671 0.4658
Cd 0.7329 0.7329 0.5342
Pt 0.0000 0.0000 0.0000
Cd 0.1444 0.8788 0.2424
Cs 0.9143 0.4143 0.1714
Cd 0.1212 0.8556 0.7576
Cd 0.1212 0.3868 0.7576

Properties
Magnetization   0.0 μB/cell
DOS(E_F)   0.6 states/eV per cell

---

B:
The following is a GGA-PBE calculation of CsCd3Pt after structural relaxation, from Alexandria via LeMat-Bulk.

Cell: 7.2839 6.4466 7.3019 Å, 90.00 123.56 90.00°
Atoms (fractional coordinates):
Cd 0.8948 0.7500 0.5075
Cs 0.6530 0.2500 0.5516
Cd 0.1052 0.2500 0.4925
Cd 0.7404 0.5113 0.0725
Cd 0.7404 0.9887 0.0725
Pt 0.9365 0.7500 0.9019
Cd 0.2596 0.4887 0.9275
Cs 0.3470 0.7500 0.4484
Cd 0.2596 0.0113 0.9275
Pt 0.0635 0.2500 0.0981

Properties
Magnetization   0.0 μB/cell
DOS(E_F)   4.7 states/eV per cell

---

How do the energies compare? Relative to the most stable structure, in eV/atom: A 0.034; B 0.000.

---

A:
The following is a GGA-PBE calculation of CsCd3Pt after structural relaxation, from Alexandria via LeMat-Bulk.

Cell: 4.6267 4.6267 22.2944 Å, 90.00 90.00 120.00°
Atoms (fractional coordinates):
Cs 0.0000 0.0000 0.0000
Cd 0.3333 0.6667 0.8701
Cd 0.6667 0.3333 0.3701
Pt 0.6667 0.3333 0.2500
Cd 0.6667 0.3333 0.1299
Pt 0.3333 0.6667 0.7500
Cd 0.0000 0.0000 0.7500
Cd 0.0000 0.0000 0.2500
Cs 0.0000 0.0000 0.5000
Cd 0.3333 0.6667 0.6299

Properties
Magnetization   0.0 μB/cell
DOS(E_F)   2.1 states/eV per cell

---

B:
The following is a GGA-PBE calculation of CsCd3Pt after structural relaxation, from Alexandria via LeMat-Bulk.

Cell: 5.4079 5.4079 5.4079 Å, 90.00 90.00 90.00°
Atoms (fractional coordinates):
Cd 0.0000 0.0000 0.5000
Cd 0.5000 0.0000 0.0000
Pt 0.0000 0.0000 0.0000
Cs 0.5000 0.5000 0.5000
Cd 0.0000 0.5000 0.0000

Properties
Magnetization   0.0 μB/cell
DOS(E_F)   1.8 states/eV per cell

---

C:
The following is a GGA-PBE calculation of CsCd3Pt after structural relaxation, from Alexandria via LeMat-Bulk.

Cell: 7.1405 7.1405 7.1405 Å, 90.00 90.00 90.00°
Each line ends with the local moment (μB).
Atoms (fractional coordinates):
Pt 0.5000 0.5000 0.5000  0.96
Cd 0.0000 0.0000 0.5000  0.00
Cs 0.0000 0.0000 0.0000  0.00
Cd 0.0000 0.5000 0.0000  0.00
Cd 0.5000 0.0000 0.0000  0.00

Properties
Magnetization   1.0 μB/cell
DOS(E_F)   138.1 states/eV per cell

---

How do the energies compare? Relative to the most stable structure, in eV/atom: A 0.351; B 0.000; C 1.451.